An optimized crystal structure of Tl3Ag2Cl2F3. Source: Alexandria via LeMat-Bulk, functional GGA-PBE.

Cell: 11.8013 11.8013 11.8013 Å, 155.53 155.53 34.88°
With the nearest neighbours (Å) after each atom.
Positions (direct):
Tl (0.0000, 0.0000, 0.0000)  2 F 2.44
Tl (0.3854, 0.3854, 0.0000)  1 F 2.58
Tl (0.6146, 0.6146, 0.0000)  1 F 2.58
Ag (0.2108, 0.2108, 0.0000)  1 F 2.30
Ag (0.7892, 0.7892, 0.0000)  1 F 2.30
Cl (0.2500, 0.7500, 0.5000)  4 Ag 2.65
Cl (0.7500, 0.2500, 0.5000)  4 Ag 2.65
F (0.1086, 0.1086, 0.0000)  1 Ag 2.30, 1 Tl 2.44
F (0.5000, 0.5000, 0.0000)  2 Tl 2.58
F (0.8914, 0.8914, 0.0000)  1 Ag 2.30, 1 Tl 2.44

Calculated values
The magnetic moment is 0.00 μB per formula unit. As for the uncorrected formation energy: -1.09 eV/atom. Its space-group type is No. 139. The crystal system is tetragonal.

An optimized crystal structure of TlAg3Cl2F6. Source: Alexandria via LeMat-Bulk, functional GGA-PBE.

Cell: 7.2666 7.2666 4.9702 Å, 92.12 92.12 56.85°
With the nearest neighbours (Å) after each atom.
Positions (direct):
Tl (0.0000, 0.0000, 0.0000)  6 F 2.21-2.25
Ag (0.0000, 0.5000, 0.0000)  4 F 2.32-2.54, 2 Cl 2.48
Ag (0.5000, 0.0000, 0.0000)  4 F 2.32-2.54, 2 Cl 2.48
Ag (0.5000, 0.5000, 0.5000)  4 F 2.41, 2 Cl 2.47
Cl (0.3290, 0.3290, 0.7153)  3 Ag 2.47-2.48
Cl (0.6710, 0.6710, 0.2847)  3 Ag 2.47-2.48
F (0.1608, 0.1608, 0.2017)  1 Tl 2.25, 2 Ag 2.32
F (0.1641, 0.6956, 0.2354)  1 Tl 2.21, 1 Ag 2.41
F (0.3044, 0.8359, 0.7646)  1 Tl 2.21, 1 Ag 2.41
F (0.6956, 0.1641, 0.2354)  1 Tl 2.21, 1 Ag 2.41
F (0.8359, 0.3044, 0.7646)  1 Tl 2.21, 1 Ag 2.41
F (0.8392, 0.8392, 0.7983)  1 Tl 2.25, 2 Ag 2.32

Calculated values
The magnetic moment is 0.57 μB per formula unit. As for the uncorrected formation energy: -1.13 eV/atom. Its space-group type is No. 12. The crystal system is monoclinic.

An optimized crystal structure of TlAg2ClF2. Source: Alexandria via LeMat-Bulk, functional GGA-PBE.

Cell: 5.9321 5.8445 7.4394 Å, 90.00 90.52 90.00°
With the nearest neighbours (Å) after each atom.
Positions (direct):
Tl (0.0636, 0.2500, 0.1612)  2 F 2.43-2.56
Tl (0.9364, 0.7500, 0.8388)  2 F 2.43-2.56
Ag (0.4804, 0.0024, 0.7549)  3 F 2.41-2.68, 1 Cl 2.62
Ag (0.4804, 0.4976, 0.7549)  3 F 2.41-2.68, 1 Cl 2.62
Ag (0.5196, 0.5024, 0.2451)  3 F 2.41-2.68, 1 Cl 2.62
Ag (0.5196, 0.9976, 0.2451)  3 F 2.41-2.68, 1 Cl 2.62
Cl (0.2937, 0.7500, 0.4756)  4 Ag 2.62-2.77
Cl (0.7063, 0.2500, 0.5244)  4 Ag 2.62-2.77
F (0.1652, 0.2500, 0.8457)  1 Tl 2.43, 2 Ag 2.46
F (0.3310, 0.7500, 0.9813)  4 Ag 2.41-2.68, 1 Tl 2.56
F (0.6690, 0.2500, 0.0187)  4 Ag 2.41-2.68, 1 Tl 2.56
F (0.8348, 0.7500, 0.1543)  1 Tl 2.43, 2 Ag 2.46

Calculated values
The magnetic moment is 0.00 μB per formula unit. As for the uncorrected formation energy: -1.00 eV/atom. Its space-group type is No. 11. The crystal system is monoclinic.

An optimized crystal structure of Tl3Ag2Cl2F4. Source: Alexandria via LeMat-Bulk, functional GGA-PBE.

Cell: 12.7335 12.7335 12.7335 Å, 159.71 159.71 28.85°
With the nearest neighbours (Å) after each atom.
Positions (direct):
Tl (0.0000, 0.0000, 0.0000)  8 F 2.89
Tl (0.1749, 0.1749, 0.0000)  5 Cl 3.20-3.21, 4 F 3.35
Tl (0.8251, 0.8251, 0.0000)  5 Cl 3.20-3.21, 4 F 3.35
Ag (0.4175, 0.4175, 0.0000)  4 F 2.25
Ag (0.5825, 0.5825, 0.0000)  4 F 2.25
Cl (0.3046, 0.3046, 0.0000)  1 Ag 2.78
Cl (0.6954, 0.6954, 0.0000)  1 Ag 2.78
F (0.0737, 0.5737, 0.5000)  2 Ag 2.25
F (0.4263, 0.9263, 0.5000)  2 Ag 2.25
F (0.5737, 0.0737, 0.5000)  2 Ag 2.25
F (0.9263, 0.4263, 0.5000)  2 Ag 2.25

Calculated values
The magnetic moment is 0.00 μB per formula unit. As for the uncorrected formation energy: -1.22 eV/atom. Its space-group type is No. 139. The crystal system is tetragonal.

An optimized crystal structure of Tl3Ag2Cl3F2. Source: Alexandria via LeMat-Bulk, functional GGA-PBE.

Cell: 13.3346 13.3346 13.3346 Å, 160.22 160.22 28.12°
With the nearest neighbours (Å) after each atom.
Positions (direct):
Tl (0.0000, 0.0000, 0.0000)  6 Cl 3.14-3.24
Tl (0.3576, 0.3576, 0.0000)  4 Cl 3.28, 1 Ag 3.56, 4 F 3.61
Tl (0.6424, 0.6424, 0.0000)  4 Cl 3.28, 1 Ag 3.56, 4 F 3.61
Ag (0.2198, 0.2198, 0.0000)  4 F 2.42, 1 Cl 2.54
Ag (0.7802, 0.7802, 0.0000)  4 F 2.42, 1 Cl 2.54
Cl (0.1215, 0.1215, 0.0000)  1 Ag 2.54
Cl (0.5000, 0.5000, 0.0000)  4 Tl 3.24
Cl (0.8785, 0.8785, 0.0000)  1 Ag 2.54
F (0.2500, 0.7500, 0.5000)  4 Ag 2.42
F (0.7500, 0.2500, 0.5000)  4 Ag 2.42

Calculated values
The magnetic moment is 0.00 μB per formula unit. As for the uncorrected formation energy: -1.00 eV/atom. Its space-group type is No. 139. The crystal system is tetragonal.

An optimized crystal structure of TlAgCl2F. Source: Alexandria via LeMat-Bulk, functional GGA-PBE.

Cell: 5.1550 5.1550 4.4219 Å, 90.00 90.00 90.00°
With the nearest neighbours (Å) after each atom.
Positions (direct):
Tl (0.0000, 0.0000, 0.0000)  8 Cl 3.40, 4 F 3.65
Ag (0.5000, 0.5000, 0.5000)  2 F 2.21
Cl (0.0000, 0.5000, 0.5000)  2 Ag 2.58
Cl (0.5000, 0.0000, 0.5000)  2 Ag 2.58
F (0.5000, 0.5000, 0.0000)  2 Ag 2.21

Calculated values
The magnetic moment is 0.00 μB per formula unit. As for the uncorrected formation energy: -0.90 eV/atom. Its space-group type is No. 123. The crystal system is tetragonal.